one | The following is a DFT calculation (PBE) of Pr2Sm12Tm5 after structural relaxation.

Unit cell a=8.7095 b=8.7095 c=9.3766 alpha=109.14 beta=109.14 gamma=83.99
With the nearest neighbours (Å) after each atom.
Positions (direct):
1 Pr 0.2241 0.7759 0.0000  10 Sm 3.53-3.77, 2 Tm 3.61
2 Pr 0.7759 0.2241 0.0000  10 Sm 3.53-3.77, 2 Tm 3.61
3 Sm 0.0586 0.5493 0.1983  5 Sm 3.29-3.57, 1 Tm 3.30, 1 Pr 3.54
4 Sm 0.0783 0.0783 0.7812  5 Sm 3.30-3.64, 2 Tm 3.42-3.56
5 Sm 0.1122 0.6718 0.5828  4 Sm 3.29-3.57, 3 Tm 3.50-3.64, 1 Pr 3.53
6 Sm 0.3282 0.8878 0.4172  4 Sm 3.29-3.57, 3 Tm 3.50-3.64, 1 Pr 3.53
7 Sm 0.3827 0.3827 0.0595  4 Tm 3.42-3.74, 4 Sm 3.48-3.67, 2 Pr 3.70
8 Sm 0.4507 0.9414 0.8017  5 Sm 3.29-3.57, 1 Tm 3.30, 1 Pr 3.54
9 Sm 0.5493 0.0586 0.1983  5 Sm 3.29-3.57, 1 Tm 3.30, 1 Pr 3.54
10 Sm 0.6173 0.6173 0.9405  4 Tm 3.42-3.74, 4 Sm 3.48-3.67, 2 Pr 3.70
11 Sm 0.6718 0.1122 0.5828  4 Sm 3.29-3.57, 3 Tm 3.50-3.64, 1 Pr 3.53
12 Sm 0.8878 0.3282 0.4172  4 Sm 3.29-3.57, 3 Tm 3.50-3.64, 1 Pr 3.53
13 Sm 0.9217 0.9217 0.2188  5 Sm 3.30-3.64, 2 Tm 3.42-3.56
14 Sm 0.9414 0.4507 0.8017  5 Sm 3.29-3.57, 1 Tm 3.30, 1 Pr 3.54
15 Tm 0.1911 0.1911 0.2360  6 Sm 3.30-3.54, 2 Tm 3.58-3.66, 2 Pr 3.61
16 Tm 0.3030 0.3030 0.6603  9 Sm 3.42-3.76, 2 Tm 3.48-3.58
17 Tm 0.5000 0.5000 0.5000  4 Tm 3.48-3.66, 6 Sm 3.72-3.76
18 Tm 0.6970 0.6970 0.3397  9 Sm 3.42-3.76, 2 Tm 3.48-3.58
19 Tm 0.8089 0.8089 0.7640  6 Sm 3.30-3.54, 2 Tm 3.58-3.66, 2 Pr 3.61

crystal system: monoclinic
space group: C2/m, No. 12

=====

two | The following is a DFT calculation (PBE) of Pr2Sm12Tm5 after structural relaxation.

Unit cell a=9.1986 b=9.1986 c=8.6603 alpha=90.73 beta=90.73 gamma=60.84
With the nearest neighbours (Å) after each atom.
Positions (direct):
1 Pr 0.1781 0.8219 0.0000  1 Pr 3.32, 8 Sm 3.46-3.59, 2 Tm 3.56
2 Pr 0.8219 0.1781 0.0000  1 Pr 3.32, 8 Sm 3.46-3.59, 2 Tm 3.56
3 Sm 0.0634 0.0634 0.3355  2 Tm 3.36-3.52, 7 Sm 3.43-3.51, 2 Pr 3.48
4 Sm 0.0671 0.6815 0.3408  4 Tm 3.40-3.74, 5 Sm 3.46-3.59, 1 Pr 3.59
5 Sm 0.1634 0.5248 0.7609  4 Sm 3.37-3.65, 1 Pr 3.46, 3 Tm 3.52-3.63
6 Sm 0.3185 0.9329 0.6592  4 Tm 3.40-3.74, 5 Sm 3.46-3.59, 1 Pr 3.59
7 Sm 0.4085 0.4085 0.1180  3 Tm 3.43-3.59, 2 Pr 3.49, 5 Sm 3.50-3.65
8 Sm 0.4752 0.8366 0.2391  4 Sm 3.37-3.65, 1 Pr 3.46, 3 Tm 3.52-3.63
9 Sm 0.5248 0.1634 0.7609  4 Sm 3.37-3.65, 1 Pr 3.46, 3 Tm 3.52-3.63
10 Sm 0.5915 0.5915 0.8820  3 Tm 3.43-3.59, 2 Pr 3.49, 5 Sm 3.50-3.65
11 Sm 0.6815 0.0671 0.3408  4 Tm 3.40-3.74, 5 Sm 3.46-3.59, 1 Pr 3.59
12 Sm 0.8366 0.4752 0.2391  4 Sm 3.37-3.65, 1 Pr 3.46, 3 Tm 3.52-3.63
13 Sm 0.9329 0.3185 0.6592  4 Tm 3.40-3.74, 5 Sm 3.46-3.59, 1 Pr 3.59
14 Sm 0.9366 0.9366 0.6645  2 Tm 3.36-3.52, 7 Sm 3.43-3.51, 2 Pr 3.48
15 Tm 0.1986 0.1986 0.0163  8 Sm 3.43-3.74, 2 Pr 3.56, 1 Tm 3.73
16 Tm 0.2698 0.2698 0.4282  8 Sm 3.36-3.55, 2 Tm 3.70-3.73
17 Tm 0.5000 0.5000 0.5000  10 Sm 3.59-3.77, 2 Tm 3.70
18 Tm 0.7302 0.7302 0.5718  8 Sm 3.36-3.55, 2 Tm 3.70-3.73
19 Tm 0.8014 0.8014 0.9837  8 Sm 3.43-3.74, 2 Pr 3.56, 1 Tm 3.73

crystal system: monoclinic
space group: C2/m, No. 12

=====

Quick look at relative energies in meV per atom: one 0; two 16.

=====

one | The following is a DFT calculation (PBE) of Pr4SmTm3 after structural relaxation.

Unit cell a=10.2691 b=7.2209 c=7.2199 alpha=90.00 beta=90.00 gamma=90.00
With the nearest neighbours (Å) after each atom.
Positions (direct):
1 Pr 0.0000 0.0000 0.0000  6 Tm 3.61, 2 Sm 3.61, 4 Pr 3.62
2 Pr 0.0000 0.5000 0.5000  2 Sm 3.61, 6 Tm 3.61-3.63, 4 Pr 3.62
3 Pr 0.2500 0.2488 0.2500  6 Tm 3.58-3.64, 4 Pr 3.62, 2 Sm 3.62
4 Pr 0.2500 0.7512 0.7500  6 Tm 3.58-3.64, 4 Pr 3.62, 2 Sm 3.62
5 Pr 0.5000 0.0000 0.5000  6 Tm 3.61, 2 Sm 3.61, 4 Pr 3.62
6 Pr 0.5000 0.5000 0.0000  2 Sm 3.61, 6 Tm 3.61-3.63, 4 Pr 3.62
7 Pr 0.7500 0.2488 0.2500  6 Tm 3.58-3.64, 4 Pr 3.62, 2 Sm 3.62
8 Pr 0.7500 0.7512 0.7500  6 Tm 3.58-3.64, 4 Pr 3.62, 2 Sm 3.62
9 Sm 0.0000 0.5000 0.0000  8 Pr 3.61-3.62, 4 Tm 3.63
10 Sm 0.5000 0.5000 0.5000  8 Pr 3.61-3.62, 4 Tm 3.63
11 Tm 0.0000 0.0000 0.5000  8 Pr 3.61-3.62, 4 Tm 3.61
12 Tm 0.2500 0.2476 0.7500  8 Pr 3.58-3.64, 2 Tm 3.61, 2 Sm 3.63
13 Tm 0.2500 0.7524 0.2500  8 Pr 3.58-3.64, 2 Tm 3.61, 2 Sm 3.63
14 Tm 0.5000 0.0000 0.0000  8 Pr 3.61-3.62, 4 Tm 3.61
15 Tm 0.7500 0.2476 0.7500  8 Pr 3.58-3.64, 2 Tm 3.61, 2 Sm 3.63
16 Tm 0.7500 0.7524 0.2500  8 Pr 3.58-3.64, 2 Tm 3.61, 2 Sm 3.63

crystal system: orthorhombic
space group: Pmna, No. 53

=====

two | The following is a DFT calculation (PBE) of Pr4SmTm3 after structural relaxation.

Unit cell a=11.6371 b=7.3492 c=6.3237 alpha=90.00 beta=90.00 gamma=90.00
With the nearest neighbours (Å) after each atom.
Positions (direct):
1 Pr 0.0000 0.1302 0.0000  4 Tm 3.58-3.72, 6 Pr 3.59-3.80, 2 Sm 3.63-3.72
2 Pr 0.0000 0.8677 0.5169  4 Tm 3.57-3.78, 6 Pr 3.59-3.80, 2 Sm 3.62-3.65
3 Pr 0.2440 0.1269 0.3461  5 Tm 3.56-3.74, 6 Pr 3.59-3.67, 1 Sm 3.65
4 Pr 0.2560 0.8731 0.8461  5 Tm 3.56-3.74, 6 Pr 3.59-3.67, 1 Sm 3.65
5 Pr 0.5000 0.1323 0.0169  4 Tm 3.57-3.78, 6 Pr 3.59-3.80, 2 Sm 3.62-3.65
6 Pr 0.5000 0.8698 0.5000  4 Tm 3.58-3.72, 6 Pr 3.59-3.80, 2 Sm 3.63-3.72
7 Pr 0.7440 0.8731 0.8461  5 Tm 3.56-3.74, 6 Pr 3.59-3.67, 1 Sm 3.65
8 Pr 0.7560 0.1269 0.3461  5 Tm 3.56-3.74, 6 Pr 3.59-3.67, 1 Sm 3.65
9 Sm 0.0000 0.6240 0.0137  6 Tm 3.57-3.65, 6 Pr 3.62-3.72
10 Sm 0.5000 0.3760 0.5137  6 Tm 3.57-3.65, 6 Pr 3.62-3.72
11 Tm 0.0000 0.3823 0.5099  4 Tm 3.55-3.59, 6 Pr 3.56-3.78, 2 Sm 3.61-3.65
12 Tm 0.2497 0.3813 0.8441  4 Tm 3.55-3.61, 2 Sm 3.57-3.58, 6 Pr 3.58-3.74
13 Tm 0.2503 0.6187 0.3441  4 Tm 3.55-3.61, 2 Sm 3.57-3.58, 6 Pr 3.58-3.74
14 Tm 0.5000 0.6177 0.0099  4 Tm 3.55-3.59, 6 Pr 3.56-3.78, 2 Sm 3.61-3.65
15 Tm 0.7503 0.3813 0.8441  4 Tm 3.55-3.61, 2 Sm 3.57-3.58, 6 Pr 3.58-3.74
16 Tm 0.7497 0.6187 0.3441  4 Tm 3.55-3.61, 2 Sm 3.57-3.58, 6 Pr 3.58-3.74

crystal system: orthorhombic
space group: Pmn2_1, No. 31

=====

Quick look at relative energies in meV per atom: one 0; two 11.

=====

one | The following is a DFT calculation (PBE) of Pr2Sm4Tm5 after structural relaxation.

Unit cell a=12.1210 b=12.1210 c=8.6688 alpha=94.42 beta=94.42 gamma=16.73
With the nearest neighbours (Å) after each atom.
Positions (direct):
1 Pr 0.1303 0.1303 0.0504  4 Sm 3.49-3.59, 2 Pr 3.53, 5 Tm 3.59-3.84
2 Pr 0.8697 0.8697 0.9496  4 Sm 3.49-3.59, 2 Pr 3.53, 5 Tm 3.59-3.84
3 Sm 0.0395 0.0395 0.3453  3 Sm 3.40-3.53, 1 Pr 3.49, 7 Tm 3.53-3.60
4 Sm 0.2741 0.2741 0.1756  4 Tm 3.41-3.55, 4 Sm 3.53-3.63, 3 Pr 3.53-3.59
5 Sm 0.7259 0.7259 0.8244  4 Tm 3.41-3.55, 4 Sm 3.53-3.63, 3 Pr 3.53-3.59
6 Sm 0.9605 0.9605 0.6547  3 Sm 3.40-3.53, 1 Pr 3.49, 7 Tm 3.53-3.60
7 Tm 0.1856 0.1856 0.4784  4 Sm 3.50-3.60, 6 Tm 3.53-3.56, 1 Pr 3.84
8 Tm 0.4119 0.4119 0.3075  5 Sm 3.41-3.60, 5 Tm 3.53-3.56, 2 Pr 3.64
9 Tm 0.5000 0.5000 0.0000  4 Tm 3.53, 4 Sm 3.54, 4 Pr 3.59
10 Tm 0.5881 0.5881 0.6925  5 Sm 3.41-3.60, 5 Tm 3.53-3.56, 2 Pr 3.64
11 Tm 0.8144 0.8144 0.5216  4 Sm 3.50-3.60, 6 Tm 3.53-3.56, 1 Pr 3.84

crystal system: monoclinic
space group: C2/m, No. 12

=====

two | The following is a DFT calculation (PBE) of Pr2Sm4Tm5 after structural relaxation.

Unit cell a=3.5794 b=8.5948 c=11.7964 alpha=89.57 beta=83.81 gamma=89.45
With the nearest neighbours (Å) after each atom.
Positions (direct):
1 Pr 0.1477 0.1497 0.1007  5 Tm 3.43-3.72, 2 Sm 3.53-3.62, 3 Pr 3.58-3.75
2 Pr 0.8523 0.8503 0.8993  5 Tm 3.43-3.72, 2 Sm 3.53-3.62, 3 Pr 3.58-3.75
3 Sm 0.0099 0.7047 0.4718  4 Sm 3.45-3.58, 8 Tm 3.52-3.70
4 Sm 0.1092 0.7530 0.1796  5 Tm 3.25-3.59, 3 Sm 3.45-3.58, 2 Pr 3.53-3.62
5 Sm 0.8908 0.2470 0.8204  5 Tm 3.25-3.59, 3 Sm 3.45-3.58, 2 Pr 3.53-3.62
6 Sm 0.9901 0.2953 0.5282  4 Sm 3.45-3.58, 8 Tm 3.52-3.70
7 Tm 0.4145 0.5721 0.7140  4 Tm 3.47-3.58, 6 Sm 3.52-3.70, 2 Pr 3.69-3.72
8 Tm 0.4558 0.9740 0.6478  4 Tm 3.49-3.58, 6 Sm 3.56-3.61, 2 Pr 3.58-3.64
9 Tm 0.5000 0.5000 0.0000  2 Sm 3.25, 2 Pr 3.43, 4 Tm 3.47-3.58
10 Tm 0.5442 0.0260 0.3522  4 Tm 3.49-3.58, 6 Sm 3.56-3.61, 2 Pr 3.58-3.64
11 Tm 0.5855 0.4279 0.2860  4 Tm 3.47-3.58, 6 Sm 3.52-3.70, 2 Pr 3.69-3.72

crystal system: triclinic
space group: P-1, No. 2

=====

Quick look at relative energies in meV per atom: one 50; two 0.

=====

one | The following is a DFT calculation (PBE) of Pr3Sm2Tm3 after structural relaxation.

Unit cell a=5.9884 b=6.0095 c=14.8066 alpha=90.00 beta=90.00 gamma=90.00
With the nearest neighbours (Å) after each atom.
Positions (direct):
1 Pr 0.0000 0.0000 0.0000  4 Tm 3.50, 4 Pr 3.57, 2 Sm 3.77
2 Pr 0.0000 0.5000 0.1296  4 Sm 3.45-3.53, 3 Tm 3.56-3.67, 3 Pr 3.57-3.84
3 Pr 0.0000 0.5000 0.8704  4 Sm 3.45-3.53, 3 Tm 3.56-3.67, 3 Pr 3.57-3.84
4 Pr 0.5000 0.0000 0.3704  4 Sm 3.45-3.53, 3 Tm 3.56-3.67, 3 Pr 3.57-3.84
5 Pr 0.5000 0.0000 0.6296  4 Sm 3.45-3.53, 3 Tm 3.56-3.67, 3 Pr 3.57-3.84
6 Pr 0.5000 0.5000 0.5000  4 Tm 3.50, 4 Pr 3.57, 2 Sm 3.77
7 Sm 0.0000 0.0000 0.2545  5 Pr 3.45-3.77, 5 Tm 3.51-3.64
8 Sm 0.0000 0.0000 0.7455  5 Pr 3.45-3.77, 5 Tm 3.51-3.64
9 Sm 0.5000 0.5000 0.2455  5 Pr 3.45-3.77, 5 Tm 3.51-3.64
10 Sm 0.5000 0.5000 0.7545  5 Pr 3.45-3.77, 5 Tm 3.51-3.64
11 Tm 0.0000 0.0000 0.5000  4 Tm 3.51, 4 Pr 3.56, 2 Sm 3.64
12 Tm 0.0000 0.5000 0.3772  3 Pr 3.50-3.67, 4 Sm 3.51-3.57, 3 Tm 3.51-3.64
13 Tm 0.0000 0.5000 0.6228  3 Pr 3.50-3.67, 4 Sm 3.51-3.57, 3 Tm 3.51-3.64
14 Tm 0.5000 0.0000 0.1228  3 Pr 3.50-3.67, 4 Sm 3.51-3.57, 3 Tm 3.51-3.64
15 Tm 0.5000 0.0000 0.8772  3 Pr 3.50-3.67, 4 Sm 3.51-3.57, 3 Tm 3.51-3.64
16 Tm 0.5000 0.5000 0.0000  4 Tm 3.51, 4 Pr 3.56, 2 Sm 3.64

crystal system: orthorhombic
space group: Immm, No. 71

=====

two | The following is a DFT calculation (PBE) of Pr3Sm2Tm3 after structural relaxation.

Unit cell a=5.0696 b=5.1226 c=20.4449 alpha=90.00 beta=90.00 gamma=90.00
With the nearest neighbours (Å) after each atom.
Positions (direct):
1 Pr 0.0000 0.0000 0.0000  4 Pr 3.60, 8 Tm 3.60
2 Pr 0.0000 0.5000 0.1236  6 Tm 3.58-3.60, 2 Pr 3.60, 4 Sm 3.63
3 Pr 0.0000 0.5000 0.8764  6 Tm 3.58-3.60, 2 Pr 3.60, 4 Sm 3.63
4 Pr 0.5000 0.0000 0.3764  6 Tm 3.58-3.60, 2 Pr 3.60, 4 Sm 3.63
5 Pr 0.5000 0.0000 0.6236  6 Tm 3.58-3.60, 2 Pr 3.60, 4 Sm 3.63
6 Pr 0.5000 0.5000 0.5000  4 Pr 3.60, 8 Tm 3.60
7 Sm 0.0000 0.0000 0.2492  4 Tm 3.59-3.63, 4 Sm 3.60, 4 Pr 3.63
8 Sm 0.0000 0.0000 0.7508  4 Tm 3.59-3.63, 4 Sm 3.60, 4 Pr 3.63
9 Sm 0.5000 0.5000 0.2508  4 Tm 3.59-3.63, 4 Sm 3.60, 4 Pr 3.63
10 Sm 0.5000 0.5000 0.7492  4 Tm 3.59-3.63, 4 Sm 3.60, 4 Pr 3.63
11 Tm 0.0000 0.0000 0.5000  8 Pr 3.58-3.60, 4 Tm 3.62
12 Tm 0.0000 0.5000 0.3748  4 Sm 3.59-3.63, 6 Pr 3.60, 2 Tm 3.62
13 Tm 0.0000 0.5000 0.6252  4 Sm 3.59-3.63, 6 Pr 3.60, 2 Tm 3.62
14 Tm 0.5000 0.0000 0.1252  4 Sm 3.59-3.63, 6 Pr 3.60, 2 Tm 3.62
15 Tm 0.5000 0.0000 0.8748  4 Sm 3.59-3.63, 6 Pr 3.60, 2 Tm 3.62
16 Tm 0.5000 0.5000 0.0000  8 Pr 3.58-3.60, 4 Tm 3.62

crystal system: orthorhombic
space group: Immm, No. 71

=====

Quick look at relative energies in meV per atom: one 100; two 0.

=====

one | The following is a DFT calculation (PBE) of Pr5Sm2Tm3 after structural relaxation.

Unit cell a=9.2496 b=9.2496 c=10.0701 alpha=108.32 beta=108.32 gamma=108.25
With the nearest neighbours (Å) after each atom.
Positions (direct):
1 Pr 0.0220 0.9780 0.7500  3 Pr 3.12-3.44, 2 Tm 3.40
2 Pr 0.1264 0.3676 0.7457  3 Pr 3.44-3.52, 3 Tm 3.46-3.76, 2 Sm 3.75-3.79
3 Pr 0.2302 0.7698 0.7500  1 Pr 3.12, 2 Sm 3.44
4 Pr 0.2711 0.7289 0.2500  3 Tm 3.10-3.42
5 Pr 0.3676 0.1264 0.2457  3 Pr 3.44-3.52, 3 Tm 3.46-3.76, 2 Sm 3.75-3.79
6 Pr 0.6324 0.8736 0.7543  3 Pr 3.44-3.52, 3 Tm 3.46-3.76, 2 Sm 3.75-3.79
7 Pr 0.7289 0.2711 0.7500  3 Tm 3.10-3.42
8 Pr 0.7698 0.2302 0.2500  1 Pr 3.12, 2 Sm 3.44
9 Pr 0.8736 0.6324 0.2543  3 Pr 3.44-3.52, 3 Tm 3.46-3.76, 2 Sm 3.75-3.79
10 Pr 0.9780 0.0220 0.2500  3 Pr 3.12-3.44, 2 Tm 3.40
11 Sm 0.2263 0.4680 0.4427  3 Tm 3.28-3.49, 4 Pr 3.44-3.58
12 Sm 0.4680 0.2263 0.9427  3 Tm 3.28-3.49, 4 Pr 3.44-3.58
13 Sm 0.5320 0.7737 0.0573  3 Tm 3.28-3.49, 4 Pr 3.44-3.58
14 Sm 0.7737 0.5320 0.5573  3 Tm 3.28-3.49, 4 Pr 3.44-3.58
15 Tm 0.0333 0.2805 0.0570  1 Sm 3.28, 5 Pr 3.40-3.57, 1 Tm 3.49
16 Tm 0.2805 0.0333 0.5570  1 Sm 3.28, 5 Pr 3.40-3.57, 1 Tm 3.49
17 Tm 0.4781 0.5219 0.2500  3 Pr 3.10-3.46, 2 Sm 3.38
18 Tm 0.5219 0.4781 0.7500  3 Pr 3.10-3.46, 2 Sm 3.38
19 Tm 0.7195 0.9667 0.4430  1 Sm 3.28, 5 Pr 3.40-3.57, 1 Tm 3.49
20 Tm 0.9667 0.7195 0.9430  1 Sm 3.28, 5 Pr 3.40-3.57, 1 Tm 3.49

crystal system: monoclinic
space group: C2/c, No. 15

=====

two | The following is a DFT calculation (PBE) of Pr5Sm2Tm3 after structural relaxation.

Unit cell a=12.5235 b=12.5235 c=12.5235 alpha=135.56 beta=55.70 gamma=148.16
With the nearest neighbours (Å) after each atom.
Positions (direct):
1 Pr 0.0039 0.7500 0.2539  2 Sm 3.39, 4 Pr 3.42-3.43
2 Pr 0.1272 0.0972 0.2244  1 Sm 2.91
3 Pr 0.2500 0.2500 0.0000  6 Pr 3.43
4 Pr 0.3728 0.5972 0.9700  1 Sm 2.91
5 Pr 0.4961 0.7500 0.7461  2 Sm 3.39, 4 Pr 3.42-3.43
6 Pr 0.5039 0.2500 0.2539  2 Sm 3.39, 4 Pr 3.42-3.43
7 Pr 0.6272 0.4028 0.0300  1 Sm 2.91
8 Pr 0.7500 0.7500 0.0000  6 Pr 3.43
9 Pr 0.8728 0.9028 0.7756  1 Sm 2.91
10 Pr 0.9961 0.2500 0.7461  2 Sm 3.39, 4 Pr 3.42-3.43
11 Sm 0.1205 0.4040 0.5244  1 Pr 2.91, 1 Tm 3.23
12 Sm 0.3795 0.9040 0.2835  1 Pr 2.91, 1 Tm 3.23
13 Sm 0.6205 0.0960 0.7165  1 Pr 2.91, 1 Tm 3.23
14 Sm 0.8795 0.5960 0.4756  1 Pr 2.91, 1 Tm 3.23
15 Tm 0.1175 0.7453 0.8629  1 Sm 3.23, 1 Pr 3.34
16 Tm 0.2500 0.7500 0.5000  4 Sm 3.30, 2 Tm 3.43
17 Tm 0.3825 0.2453 0.6278  1 Sm 3.23, 1 Pr 3.34
18 Tm 0.6175 0.7547 0.3722  1 Sm 3.23, 1 Pr 3.34
19 Tm 0.7500 0.2500 0.5000  4 Sm 3.30, 2 Tm 3.43
20 Tm 0.8825 0.2547 0.1371  1 Sm 3.23, 1 Pr 3.34

crystal system: orthorhombic
space group: Ibam, No. 72

=====

Quick look at relative energies in meV per atom: one 0; two 187.

=====

one | The following is a DFT calculation (PBE) of Pr3SmTm after structural relaxation.

Unit cell a=8.2022 b=8.2022 c=6.2221 alpha=90.00 beta=90.00 gamma=120.48
With the nearest neighbours (Å) after each atom.
Positions (direct):
1 Pr 0.0000 0.0000 0.0000  6 Pr 3.11-3.25, 2 Sm 3.24
2 Pr 0.0000 0.0000 0.5000  6 Pr 3.11-3.25, 2 Sm 3.24
3 Pr 0.1965 0.4035 0.7500  1 Sm 3.24, 3 Pr 3.25-3.26
4 Pr 0.4035 0.1965 0.2500  1 Sm 3.24, 3 Pr 3.25-3.26
5 Pr 0.5965 0.8035 0.7500  1 Sm 3.24, 3 Pr 3.25-3.26
6 Pr 0.8035 0.5965 0.2500  1 Sm 3.24, 3 Pr 3.25-3.26
7 Sm 0.1999 0.8001 0.7500  4 Pr 3.24, 2 Tm 3.60
8 Sm 0.8001 0.1999 0.2500  4 Pr 3.24, 2 Tm 3.60
9 Tm 0.3276 0.6724 0.2500  2 Sm 3.60, 6 Pr 3.65-4.02
10 Tm 0.6724 0.3276 0.7500  2 Sm 3.60, 6 Pr 3.65-4.02

crystal system: orthorhombic
space group: Cmcm, No. 63

=====

two | The following is a DFT calculation (PBE) of Pr3SmTm after structural relaxation.

Unit cell a=9.8126 b=3.7946 c=9.6526 alpha=90.00 beta=90.00 gamma=90.00
With the nearest neighbours (Å) after each atom.
Positions (direct):
1 Pr 0.0664 0.0000 0.1913  5 Pr 3.57-3.92, 2 Tm 3.59, 4 Sm 3.65-3.82
2 Pr 0.2500 0.0000 0.6260  4 Tm 3.33, 2 Sm 3.48, 2 Pr 3.57
3 Pr 0.4336 0.0000 0.1913  5 Pr 3.57-3.92, 2 Tm 3.59, 4 Sm 3.65-3.82
4 Pr 0.5664 0.0000 0.8087  5 Pr 3.57-3.92, 2 Tm 3.59, 4 Sm 3.65-3.82
5 Pr 0.7500 0.0000 0.3740  4 Tm 3.33, 2 Sm 3.48, 2 Pr 3.57
6 Pr 0.9336 0.0000 0.8087  5 Pr 3.57-3.92, 2 Tm 3.59, 4 Sm 3.65-3.82
7 Sm 0.2500 0.5000 0.9277  10 Pr 3.48-3.82, 2 Sm 3.79
8 Sm 0.7500 0.5000 0.0723  10 Pr 3.48-3.82, 2 Sm 3.79
9 Tm 0.0000 0.5000 0.5000  8 Pr 3.33-3.59
10 Tm 0.5000 0.5000 0.5000  8 Pr 3.33-3.59

crystal system: orthorhombic
space group: Pmma, No. 51

=====

Quick look at relative energies in meV per atom: one 154; two 0.